The following is a DFT calculation (GGA-PBEsol) of Sb2Se3 after structural relaxation.

Cell lengths 7.297, 7.137, 8.921 Å; angles 52.63, 51.02, 76.34 degrees
Element x y z (fractional)
Sb1 0.077 0.923 0.314
Sb2 0.564 0.936 0.327
Sb3 0.923 0.077 0.686
Sb4 0.936 0.564 0.173
Se1 0.063 0.678 0.718
Se2 0.073 0.073 0.927
Se3 0.323 0.323 0.177
Se4 0.532 0.710 0.187
Se5 0.678 0.063 0.540
Se6 0.710 0.532 0.572

## Properties
- M_tot: 0.00 μB per formula unit
- DFT total energy: -4.3160 eV per atom
- V: 27.9 A^3/atom
- DOS(E_F): 0.005 states/eV per atom
- Symmetry: No. 43